1.
{"formula": "PmDyZnAu", "functional": "PBE-GGA", "state": "relaxed", "rho_g_cm3": 9.91, "lattice": [[3.645, 0.000, 0.000], [0.000, 3.645, 0.000], [0.000, 0.000, 7.183]], "species": ["Pm", "Dy", "Zn", "Au"], "frac_coords": [[0.000, 0.000, 0.000], [0.000, 0.000, 0.496], [0.500, 0.500, 0.258], [0.500, 0.500, 0.728]]}

---

2.
{"formula": "PmDyZnAu", "functional": "PBE-GGA", "state": "relaxed", "rho_g_cm3": 9.85, "lattice": [[0.000, 3.636, 3.636], [3.636, 0.000, 3.636], [3.636, 3.636, 0.000]], "species": ["Pm", "Dy", "Zn", "Au"], "frac_coords": [[0.000, 0.000, 0.000], [0.500, 0.500, 0.500], [0.750, 0.750, 0.750], [0.250, 0.250, 0.250]]}

---

Energies relative to the most stable structure are 1 0.000; 2 0.018, reported in eV/atom.